Computed, not measured: NaZrPCl2 at its PBEsol-relaxed geometry at the meta-GGA SCAN level of DFT.

Computed properties:
E_form (uncorrected) (eV/f.u.): -6.122
E above lowest polymorph (eV/f.u.): 0.00
E (eV per atom): -13.478
D(E_F) (states/eV/cell): 0.66

abc: 5.031 5.028 5.028
angles: 90.00 90.00 90.00
Element x y z (fractional)
P1 0.500 0.000 0.000
Na1 0.500 0.500 0.500
Cl1 0.000 0.000 0.500
Zr1 0.000 0.000 0.000
Cl2 0.000 0.500 0.000